(1)
Computed, not measured: a geometry-optimized La6Pd23 structure at the GGA-PBE level of DFT.

## Properties
Density of states at the Fermi level (states/eV/atom): 0.760
Total moment (μB per atom): 0.01
Raw total energy (eV for the cell shown): -667.008

abc: 13.0986 13.0986 13.0986
angles: 90.00 90.00 90.00
Closest atoms and distances in Å follow each position.
Space group Fm-3m (No. 225)
Symmetry-distinct sites (fractional):
La  0.0000  0.0000  0.2249  12 Pd 3.01-3.29
Pd  0.0000  0.0000  0.5000  8 Pd 2.73
Pd  0.0000  0.2500  0.2500  8 Pd 2.68-2.87
Pd  0.1203  0.1203  0.3797  7 Pd 2.73-2.89, 3 La 3.01
Pd  0.1708  0.1708  0.1708  9 Pd 2.68-2.93

=====

(2)
Computed, not measured: a geometry-optimized NaErVCl6 structure at the GGA-PBE level of DFT.

## Properties
ΔE_f (raw) (eV per atom): -1.801
Total moment (μB per atom): 0.33

abc: 6.5310 6.5310 12.7143
angles: 90.00 90.00 120.00
Closest atoms and distances in Å follow each position.
Space group P-31c (No. 163)
Symmetry-distinct sites (fractional):
Na  0.0000  0.0000  0.0000  6 Cl 2.89
Er  0.3333  0.6667  0.2500  6 Cl 2.63
V  0.3333  0.6667  0.7500  6 Cl 2.50
Cl  0.0159  0.3632  0.6356  1 V 2.50, 1 Er 2.63

=====

| no. | ρ (g/cm3) |
| --- | --- |
| 1 | 9.7 |
| 2 | 3.2 |